(1)
An optimized crystal structure of GdTmAg2. Source: the Alexandria database, functional GGA-PBE.

```
4
Lattice="3.5911 0.0000 0.0000 0.0000 3.5911 0.0000 0.0000 0.0000 7.4008" Properties=species:S:1:pos:R:3 pbc="T T T"
Gd 0.0000 0.0000 0.0000
Tm 0.0000 0.0000 3.7004
Ag 1.7956 1.7956 1.9676
Ag 1.7956 1.7956 5.4332
```


(2)
An optimized crystal structure of GdTmAg. Source: the Alexandria database, functional GGA-PBE.

Properties
Energy above the lowest structure with this stoichiometry ... 163.5 meV/atom

```
3
Lattice="5.0376 0.0000 0.0000 -2.5188 4.3627 0.0000 0.0000 0.0000 3.6468" Properties=species:S:1:pos:R:3 pbc="T T T"
Gd 0.0000 0.0000 0.0000
Tm 2.5188 1.4542 1.9703
Ag 0.0000 2.9085 1.1868
```


(3)
An optimized crystal structure of GdTm2Ag. Source: the Alexandria database, functional GGA-PBE.

Properties
Energy above the lowest structure with this stoichiometry ... 204.5 meV/atom

```
16
Lattice="7.5118 0.0000 0.0000 0.0000 7.5118 0.0000 0.0000 0.0000 7.5118" Properties=species:S:1:pos:R:3 pbc="T T T"
Gd 0.0000 0.0000 0.0000
Gd 0.0000 3.7559 3.7559
Gd 3.7559 0.0000 3.7559
Gd 3.7559 3.7559 0.0000
Tm 1.8779 1.8779 1.8779
Tm 1.8779 1.8779 5.6338
Tm 1.8779 5.6338 1.8779
Tm 1.8779 5.6338 5.6338
Tm 5.6338 1.8779 1.8779
Tm 5.6338 1.8779 5.6338
Tm 5.6338 5.6338 1.8779
Tm 5.6338 5.6338 5.6338
Ag 0.0000 0.0000 3.7559
Ag 0.0000 3.7559 0.0000
Ag 3.7559 0.0000 0.0000
Ag 3.7559 3.7559 3.7559
```


(4)
An optimized crystal structure of GdTm2Ag. Source: the Alexandria database, functional GGA-PBE.

Properties
Energy above the lowest structure with this stoichiometry ... 0.0 meV/atom

```
4
Lattice="3.5266 0.0000 0.0000 0.0000 3.5266 0.0000 0.0000 0.0000 8.8323" Properties=species:S:1:pos:R:3 pbc="T T T"
Gd 0.0000 0.0000 0.0000
Tm 1.7633 1.7633 2.5590
Tm 1.7633 1.7633 6.2733
Ag 0.0000 0.0000 4.4162
```


(5)
An optimized crystal structure of GdTm2Ag. Source: the Alexandria database, functional GGA-PBE.

Properties
Energy above the lowest structure with this stoichiometry ... 308.0 meV/atom

```
12
Lattice="3.3977 0.0000 0.0000 -1.6988 2.9425 0.0000 0.0000 0.0000 33.9778" Properties=species:S:1:pos:R:3 pbc="T T T"
Gd 0.0000 0.0000 0.0000
Gd 0.0000 1.9616 22.6519
Gd 1.6988 0.9808 11.3259
Tm 0.0000 0.0000 3.2949
Tm 0.0000 0.0000 30.6829
Tm 0.0000 1.9616 19.3569
Tm 0.0000 1.9616 25.9468
Tm 1.6988 0.9808 8.0310
Tm 1.6988 0.9808 14.6209
Ag 0.0000 0.0000 16.9889
Ag 0.0000 1.9616 5.6630
Ag 1.6988 0.9808 28.3149
```


(6)
An optimized crystal structure of GdTmAg. Source: the Alexandria database, functional GGA-PBE.

Properties
Energy above the lowest structure with this stoichiometry ... 0.0 meV/atom

```
6
Lattice="3.5944 0.0000 0.0000 0.0000 3.5944 0.0000 0.0000 0.0000 12.3640" Properties=species:S:1:pos:R:3 pbc="T T T"
Gd 0.0000 0.0000 0.0000
Gd 1.7972 1.7972 6.1820
Tm 0.0000 0.0000 3.7032
Tm 1.7972 1.7972 9.8852
Ag 0.0000 0.0000 8.1705
Ag 1.7972 1.7972 1.9885
```


Number 1: energy relative to the elements -0.3213 eV/atom. Number 2: energy relative to the elements -0.0311 eV/atom. Number 3: energy relative to the elements 0.0745 eV/atom. Number 4: energy relative to the elements -0.1299 eV/atom. Number 5: energy relative to the elements 0.1781 eV/atom. Number 6: energy relative to the elements -0.1946 eV/atom.